No. 1
# Cu2Pt PBEsol optimized geometry
data_Cu2Pt
_cell_length_a 7.168
_cell_length_b 7.168
_cell_length_c 2.635
_cell_angle_alpha 90.00
_cell_angle_beta 90.00
_cell_angle_gamma 120.00
_space_group_name_H-M_alt 'P 1'
_space_group_IT_number 1
_space_group_name_Hall 'P 1'
loop_
_atom_site_label
_atom_site_fract_x
_atom_site_fract_y
_atom_site_fract_z
_atom_site_occupancy
Cu1 0.000 0.305 0.000 1
Cu2 0.000 0.636 0.500 1
Cu3 0.305 0.000 0.000 1
Cu4 0.364 0.364 0.500 1
Cu5 0.636 0.000 0.500 1
Cu6 0.695 0.695 0.000 1
Pt1 0.000 0.000 0.500 1
Pt2 0.333 0.667 0.000 1
Pt3 0.667 0.333 0.000 1
# VASP energy, eV for the cell shown: -47.11
# M_tot, μB per cell: 0.000
# DFT formation energy, meV/atom: -24

No. 2
# Zn2AgAu PBEsol optimized geometry
data_Zn2AgAu
_cell_length_a 4.942
_cell_length_b 4.942
_cell_length_c 4.504
_cell_angle_alpha 106.94
_cell_angle_beta 106.94
_cell_angle_gamma 35.42
_space_group_name_H-M_alt 'P 1'
_space_group_IT_number 1
_space_group_name_Hall 'P 1'
loop_
_atom_site_label
_atom_site_fract_x
_atom_site_fract_y
_atom_site_fract_z
_atom_site_occupancy
Zn1 0.000 0.000 0.000 1
Zn2 0.733 0.733 0.316 1
Ag1 0.483 0.483 0.490 1
Au1 0.254 0.254 0.830 1
# VASP energy, eV for the cell shown: -10.99
# M_tot, μB per cell: 0.000
# DFT formation energy, meV/atom: -149

No. 3
# Mg3Ti4P6O24 PBEsol optimized geometry
data_Mg3Ti4P6O24
_cell_length_a 6.400
_cell_length_b 7.940
_cell_length_c 9.397
_cell_angle_alpha 105.07
_cell_angle_beta 107.28
_cell_angle_gamma 102.21
_space_group_name_H-M_alt 'P 1'
_space_group_IT_number 1
_space_group_name_Hall 'P 1'
loop_
_atom_site_label
_atom_site_fract_x
_atom_site_fract_y
_atom_site_fract_z
_atom_site_occupancy
Mg1 0.000 0.000 0.000 1
Mg2 0.287 0.806 0.293 1
Mg3 0.713 0.194 0.707 1
Ti1 0.036 0.705 0.521 1
Ti2 0.397 0.459 0.106 1
Ti3 0.603 0.541 0.894 1
Ti4 0.964 0.295 0.479 1
P1 0.080 0.595 0.836 1
P2 0.219 0.144 0.764 1
P3 0.399 0.230 0.365 1
P4 0.601 0.770 0.635 1
P5 0.781 0.856 0.236 1
P6 0.920 0.405 0.164 1
O1 0.015 0.193 0.662 1
O2 0.062 0.547 0.659 1
O3 0.100 0.791 0.913 1
O4 0.132 0.538 0.161 1
O5 0.193 0.943 0.694 1
O6 0.221 0.195 0.937 1
O7 0.251 0.287 0.460 1
O8 0.275 0.034 0.242 1
O9 0.298 0.547 0.918 1
O10 0.371 0.764 0.508 1
O11 0.451 0.262 0.768 1
O12 0.454 0.360 0.277 1
O13 0.546 0.640 0.723 1
O14 0.549 0.738 0.232 1
O15 0.629 0.236 0.492 1
O16 0.702 0.453 0.082 1
O17 0.725 0.966 0.758 1
O18 0.749 0.713 0.540 1
O19 0.779 0.805 0.063 1
O20 0.807 0.057 0.306 1
O21 0.868 0.462 0.839 1
O22 0.900 0.209 0.087 1
O23 0.938 0.453 0.341 1
O24 0.985 0.807 0.338 1
# VASP energy, eV for the cell shown: -294.27
# M_tot, μB per cell: 4.045

No. 4
# Ca2TcSb PBEsol optimized geometry
data_Ca2TcSb
_cell_length_a 9.892
_cell_length_b 9.892
_cell_length_c 9.892
_cell_angle_alpha 19.45
_cell_angle_beta 19.45
_cell_angle_gamma 19.45
_space_group_name_H-M_alt 'P 1'
_space_group_IT_number 1
_space_group_name_Hall 'P 1'
loop_
_atom_site_label
_atom_site_fract_x
_atom_site_fract_y
_atom_site_fract_z
_atom_site_occupancy
Ca1 0.242 0.242 0.242 1
Ca2 0.758 0.758 0.758 1
Tc1 0.500 0.500 0.500 1
Sb1 0.000 0.000 0.000 1
# VASP energy, eV for the cell shown: -18.98
# M_tot, μB per cell: 0.955